Entry 1:
The following is a PBE calculation of a relaxed KPmHgTe3 crystal, from the Alexandria database.

a b c (Å): 4.5731 9.4503 10.8679
angles (deg): 106.64 90.00 90.00
Closest atoms and distances in Å follow each position.
Atoms (fractional coordinates):
1 Te 0.2500 0.5438 0.8414  3 Pm 3.12-3.15
2 Te 0.7500 0.9123 0.1272  1 Hg 2.81
3 Te 0.7500 0.4562 0.1586  3 Pm 3.12-3.15
4 Te 0.2500 0.0877 0.8728  1 Hg 2.81
5 Te 0.2500 0.7623 0.4591  3 Hg 2.90-3.08
6 Te 0.7500 0.2377 0.5409  3 Hg 2.90-3.08
7 Pm 0.2500 0.6782 0.1393  6 Te 3.12-3.34
8 Pm 0.7500 0.3218 0.8607  6 Te 3.12-3.34
9 Hg 0.2500 0.0913 0.6147  4 Te 2.81-3.08
10 Hg 0.7500 0.9087 0.3853  4 Te 2.81-3.08
11 K 0.7500 0.7814 0.7493  7 Te 3.54-3.94
12 K 0.2500 0.2186 0.2507  7 Te 3.54-3.94

As for the calculated volume: 450 Å³/cell. The value obtained for the total energy is -3.56 eV per atom. The value obtained for the total magnetic moment is 0.00 μB/f.u.


Entry 2:
The following is a PBE calculation of a relaxed NpGaC crystal, from the Alexandria database.

a b c (Å): 4.1720 4.1720 7.1722
angles (deg): 73.09 73.09 60.00
Closest atoms and distances in Å follow each position.
Atoms (fractional coordinates):
1 C 0.7856 0.7856 0.6432  1 Ga 2.15, 1 Np 2.25
2 C 0.2144 0.2144 0.3568  1 Ga 2.15, 1 Np 2.25
3 Ga 0.3202 0.3202 0.0393  1 C 2.15
4 Ga 0.6798 0.6798 0.9607  1 C 2.15
5 Np 0.1032 0.1032 0.6904  4 C 2.25-2.43
6 Np 0.8968 0.8968 0.3096  4 C 2.25-2.43

As for the calculated volume: 102 Å³/cell. For the formation enthalpy at 0 K, the calculation gives 0.100 eV/atom. The value obtained for the total magnetic moment is 3.02 μB/f.u.


Entry 3:
The following is a PBE calculation of a relaxed MgMn3N crystal, from the Alexandria database.

a b c (Å): 4.7316 4.7316 4.7316
angles (deg): 90.00 90.00 90.00
Closest atoms and distances in Å follow each position.
Atoms (fractional coordinates):
1 Mn 0.5000 0.0000 0.0000  2 Mg 2.37
2 Mn 0.0000 0.5000 0.0000  2 Mg 2.37
3 Mn 0.0000 0.0000 0.5000  2 Mg 2.37
4 Mg 0.0000 0.0000 0.0000  6 Mn 2.37
5 N 0.5000 0.5000 0.5000  12 Mn 3.35

As for the calculated volume: 106 Å³/cell. The value obtained for the total energy is -5.19 eV per atom. The value obtained for the total magnetic moment is 11.33 μB/f.u.


Entry 4:
The following is a PBE calculation of a relaxed ZnFe2PdN crystal, from the Alexandria database.

a b c (Å): 3.7585 3.7585 4.2618
angles (deg): 90.00 90.00 90.00
Closest atoms and distances in Å follow each position.
Atoms (fractional coordinates):
1 Fe 0.0000 0.5000 0.0000  2 N 1.88
2 Fe 0.5000 0.0000 0.0000  2 N 1.88
3 N 0.0000 0.0000 0.0000  4 Fe 1.88
4 Zn 0.0000 0.0000 0.5000  2 N 2.13
5 Pd 0.5000 0.5000 0.5000  4 Zn 2.66, 8 Fe 2.84

As for the calculated volume: 60 Å³/cell. The value obtained for the total energy is -6.38 eV per atom. The value obtained for the total magnetic moment is 4.49 μB/f.u.


Entry 5:
The following is a PBE calculation of a relaxed CaVZn2 crystal, from the Alexandria database.

a b c (Å): 4.6124 4.6124 9.8442
angles (deg): 76.45 76.45 90.00
Closest atoms and distances in Å follow each position.
Atoms (fractional coordinates):
1 Zn 0.9663 0.6250 0.2500  2 Zn 2.46, 2 V 2.63
2 Zn 0.3750 0.2163 0.7500  2 Zn 2.46, 2 V 2.63
3 Zn 0.8750 0.0337 0.7500  2 Zn 2.46, 2 V 2.63
4 Zn 0.7837 0.1250 0.2500  2 Zn 2.46, 2 V 2.63
5 Ca 0.5000 0.5000 0.0000  4 Zn 3.21, 4 V 3.26
6 Ca 0.2500 0.7500 0.5000  4 Zn 3.21, 4 V 3.26
7 V 0.0000 0.0000 0.0000  4 Zn 2.63
8 V 0.7500 0.2500 0.5000  4 Zn 2.63

As for the calculated volume: 198 Å³/cell. For the formation enthalpy at 0 K, the calculation gives 0.452 eV/atom. The value obtained for the total magnetic moment is 3.68 μB/f.u.


Entry 6:
The following is a PBE calculation of a relaxed LaErPb2 crystal, from the Alexandria database.

a b c (Å): 4.5587 5.1183 5.1183
angles (deg): 90.00 90.00 90.00
Closest atoms and distances in Å follow each position.
Atoms (fractional coordinates):
1 La 0.5000 0.0000 0.0000  8 Pb 3.43, 4 Er 3.62
2 Pb 0.0000 0.0000 0.5000  4 La 3.43, 4 Er 3.43, 4 Pb 3.62
3 Pb 0.0000 0.5000 0.0000  4 La 3.43, 4 Er 3.43, 4 Pb 3.62
4 Er 0.5000 0.5000 0.5000  8 Pb 3.43, 4 La 3.62

As for the calculated volume: 119 Å³/cell. For the formation enthalpy at 0 K, the calculation gives -0.477 eV/atom. The value obtained for the total magnetic moment is 0.00 μB/f.u.


Entry 7:
The following is a PBE calculation of a relaxed Nd3AgRu crystal, from the Alexandria database.

a b c (Å): 5.4498 5.4498 5.4498
angles (deg): 90.00 90.00 90.00
Closest atoms and distances in Å follow each position.
Atoms (fractional coordinates):
1 Ru 0.0000 0.0000 0.0000  6 Nd 2.72
2 Nd 0.5000 0.0000 0.0000  2 Ru 2.72
3 Nd 0.0000 0.0000 0.5000  2 Ru 2.72
4 Nd 0.0000 0.5000 0.0000  2 Ru 2.72
5 Ag 0.5000 0.5000 0.5000  12 Nd 3.85

As for the calculated volume: 162 Å³/cell. For the formation enthalpy at 0 K, the calculation gives 0.032 eV/atom. The value obtained for the total magnetic moment is 0.00 μB/f.u.


Entry 8:
The following is a PBE calculation of a relaxed Pm3CoCu2 crystal, from the Alexandria database.

a b c (Å): 4.0714 11.7483 11.5440
angles (deg): 90.00 90.00 90.00
Closest atoms and distances in Å follow each position.
Atoms (fractional coordinates):
1 Cu 0.7500 0.1889 0.0152  2 Co 2.45
2 Cu 0.7500 0.3111 0.5152  2 Co 2.45
3 Cu 0.2500 0.0117 0.3018  1 Co 2.56
4 Cu 0.7500 0.5117 0.1982  1 Co 2.56
5 Cu 0.2500 0.8111 0.9848  2 Co 2.45
6 Cu 0.2500 0.4883 0.8018  1 Co 2.56
7 Cu 0.2500 0.6889 0.4848  2 Co 2.45
8 Cu 0.7500 0.9883 0.6982  1 Co 2.56
9 Pm 0.7500 0.2074 0.2725  2 Co 2.82, 4 Cu 2.98-3.09
10 Pm 0.2500 0.7074 0.2275  2 Co 2.82, 4 Cu 2.98-3.09
11 Pm 0.7500 0.2926 0.7725  2 Co 2.82, 4 Cu 2.98-3.09
12 Pm 0.2500 0.3760 0.0485  1 Co 2.94, 5 Cu 3.02-3.14
13 Pm 0.7500 0.9495 0.1203  3 Co 2.95-2.99, 5 Cu 3.01-3.06
14 Pm 0.7500 0.6240 0.9515  1 Co 2.94, 5 Cu 3.02-3.14
15 Pm 0.7500 0.8760 0.4515  1 Co 2.94, 5 Cu 3.02-3.14
16 Pm 0.2500 0.1240 0.5485  1 Co 2.94, 5 Cu 3.02-3.14
17 Pm 0.2500 0.0505 0.8797  3 Co 2.95-2.99, 5 Cu 3.01-3.06
18 Pm 0.2500 0.4495 0.3797  3 Co 2.95-2.99, 5 Cu 3.01-3.06
19 Pm 0.7500 0.5505 0.6203  3 Co 2.95-2.99, 5 Cu 3.01-3.06
20 Pm 0.2500 0.7926 0.7275  2 Co 2.82, 4 Cu 2.98-3.09
21 Co 0.7500 0.8643 0.8803  3 Cu 2.45-2.56
22 Co 0.2500 0.1357 0.1197  3 Cu 2.45-2.56
23 Co 0.7500 0.6357 0.3803  3 Cu 2.45-2.56
24 Co 0.2500 0.3643 0.6197  3 Cu 2.45-2.56

As for the calculated volume: 552 Å³/cell. For the formation enthalpy at 0 K, the calculation gives -0.142 eV/atom. The value obtained for the total magnetic moment is 0.00 μB/f.u.


Entry 9:
The following is a PBE calculation of a relaxed Cs2LiIn2I6 crystal, from the Alexandria database.

a b c (Å): 8.8229 8.7282 9.8286
angles (deg): 117.81 90.00 120.36
Closest atoms and distances in Å follow each position.
Atoms (fractional coordinates):
1 I 0.6643 0.8862 0.2323  1 In 2.99, 1 Li 3.00
2 I 0.2582 0.5164 0.3915  1 In 2.94, 1 Li 3.19
3 I 0.2219 0.8862 0.2323  1 In 2.99, 1 Li 3.00
4 I 0.7781 0.1138 0.7677  1 In 2.99, 1 Li 3.00
5 I 0.3357 0.1138 0.7677  1 In 2.99, 1 Li 3.00
6 I 0.7418 0.4836 0.6085  1 In 2.94, 1 Li 3.19
7 In 0.0275 0.0550 0.1686  3 I 2.94-2.99, 1 In 2.95
8 In 0.9725 0.9450 0.8314  3 I 2.94-2.99, 1 In 2.95
9 Cs 0.2797 0.5594 0.7990  5 I 3.84-4.08
10 Cs 0.7203 0.4406 0.2010  5 I 3.84-4.08
11 Li 0.5000 0.0000 0.5000  6 I 3.00-3.19

As for the calculated volume: 549 Å³/cell. The value obtained for the total energy is -2.61 eV per atom. The value obtained for the total magnetic moment is 0.00 μB/f.u.


Entry 10:
The following is a PBE calculation of a relaxed NiGe2Au crystal, from the Alexandria database.

a b c (Å): 4.5238 4.5238 4.5238
angles (deg): 60.00 60.00 60.00
Closest atoms and distances in Å follow each position.
Atoms (fractional coordinates):
1 Ge 0.7500 0.7500 0.7500  4 Ni 2.77, 4 Au 2.77
2 Ge 0.2500 0.2500 0.2500  4 Ni 2.77, 4 Au 2.77
3 Au 0.5000 0.5000 0.5000  8 Ge 2.77
4 Ni 0.0000 0.0000 0.0000  8 Ge 2.77

As for the calculated volume: 65 Å³/cell. For the formation enthalpy at 0 K, the calculation gives 0.172 eV/atom. The value obtained for the total magnetic moment is 0.00 μB/f.u.


Entry 11:
The following is a PBE calculation of a relaxed TbGa2SiRu2 crystal, from the Alexandria database.

a b c (Å): 4.4254 4.4254 5.6134
angles (deg): 90.00 90.00 90.00
Closest atoms and distances in Å follow each position.
Atoms (fractional coordinates):
1 Ga 0.5000 0.5000 0.7282  1 Ga 2.56, 4 Ru 2.69
2 Ga 0.5000 0.5000 0.2718  1 Ga 2.56, 4 Ru 2.69
3 Si 0.0000 0.0000 0.0000  4 Ru 2.21
4 Tb 0.0000 0.0000 0.5000  2 Si 2.81
5 Ru 0.5000 0.0000 0.0000  2 Si 2.21
6 Ru 0.0000 0.5000 0.0000  2 Si 2.21

As for the calculated volume: 110 Å³/cell. The value obtained for the total energy is -6.16 eV per atom. The value obtained for the total magnetic moment is 0.00 μB/f.u.


Entry 12:
The following is a PBE calculation of a relaxed KPa4Pd3S12 crystal, from the Alexandria database.

a b c (Å): 8.4842 8.4842 8.4842
angles (deg): 109.47 109.47 109.47
Closest atoms and distances in Å follow each position.
Atoms (fractional coordinates):
1 Pa 0.0000 0.0000 0.5000  6 S 2.66
2 Pa 0.5000 0.0000 0.0000  6 S 2.66
3 Pa 0.5000 0.5000 0.5000  6 S 2.66
4 Pa 0.0000 0.5000 0.0000  6 S 2.66
5 Pd 0.0000 0.5000 0.5000  4 S 2.43
6 Pd 0.5000 0.0000 0.5000  4 S 2.43
7 Pd 0.5000 0.5000 0.0000  4 S 2.43
8 S 0.6857 0.8355 0.5212  1 Pd 2.43, 2 Pa 2.66
9 S 0.3143 0.8355 0.1499  1 Pd 2.43, 2 Pa 2.66
10 S 0.1499 0.3143 0.8355  1 Pd 2.43, 2 Pa 2.66
11 S 0.1645 0.8501 0.6857  1 Pd 2.43, 2 Pa 2.66
12 S 0.3143 0.1645 0.4788  1 Pd 2.43, 2 Pa 2.66
13 S 0.8355 0.5212 0.6857  1 Pd 2.43, 2 Pa 2.66
14 S 0.1645 0.4788 0.3143  1 Pd 2.43, 2 Pa 2.66
15 S 0.6857 0.1645 0.8501  1 Pd 2.43, 2 Pa 2.66
16 S 0.8501 0.6857 0.1645  1 Pd 2.43, 2 Pa 2.66
17 S 0.4788 0.3143 0.1645  1 Pd 2.43, 2 Pa 2.66
18 S 0.5212 0.6857 0.8355  1 Pd 2.43, 2 Pa 2.66
19 S 0.8355 0.1499 0.3143  1 Pd 2.43, 2 Pa 2.66
20 K 0.0000 0.0000 0.0000  12 S 3.48

As for the calculated volume: 470 Å³/cell. The value obtained for the total energy is -6.35 eV per atom. The value obtained for the total magnetic moment is 0.01 μB/f.u.


- The highest total magnetic moment belongs to which entry?
  MgMn3N